# Sr6Ca2Fe7CoO24

A geometry-optimized Sr6Ca2Fe7CoO24 structure (PBE+U, Alexandria via LeMat-Bulk).

Theoretical density, g/cm3: 5.1
Uncorrected energy, eV/atom: -6.3091
Space-group type: Cmm2 (35)

a = 7.7952 Å, b = 7.7952 Å, c = 7.7522 Å
α = 90.00°, β = 90.00°, γ = 90.03°
Closest atoms and distances in Å follow each position.
Positions (direct):
Fe: 0.5000 0.0000 0.5012  6 O 1.93-1.96
Fe: 0.5000 0.0000 0.9986  6 O 1.92-1.98
Fe: 0.0000 0.0000 0.9986  6 O 1.93-1.95
Fe: 0.0000 0.0000 0.5011  6 O 1.93-1.95
Fe: 0.5000 0.5000 0.9973  6 O 1.92-2.08
Fe: 0.0000 0.5000 0.5012  6 O 1.93-1.96
Fe: 0.0000 0.5000 0.9986  6 O 1.92-1.98
O: 0.0000 0.5000 0.7503  2 Fe 1.92-1.93
O: 0.7512 0.0019 0.5038  2 Fe 1.94-1.96
O: 0.0000 0.0000 0.7501  2 Fe 1.93
O: 0.7502 0.0016 0.9970  2 Fe 1.95
O: 0.9981 0.2488 0.5038  2 Fe 1.94-1.96
O: 0.7493 0.4967 0.5045  1 Co 1.94, 1 Fe 1.95
O: 0.2539 0.5013 0.9974  2 Fe 1.92-1.98
O: 0.0016 0.7502 0.9970  2 Fe 1.95
O: 0.0000 0.0000 0.2500  2 Fe 1.95
O: 0.5000 0.5000 0.7355  1 Co 1.82, 1 Fe 2.03
O: 0.2507 0.5033 0.5045  1 Co 1.94, 1 Fe 1.95
O: 0.5000 0.0000 0.2500  2 Fe 1.95
O: 0.2488 0.9981 0.5038  2 Fe 1.94-1.96
O: 0.5033 0.2507 0.5045  1 Co 1.94, 1 Fe 1.95
O: 0.0000 0.5000 0.2500  2 Fe 1.95
O: 0.4967 0.7493 0.5045  1 Co 1.94, 1 Fe 1.95
O: 0.5013 0.2539 0.9974  2 Fe 1.92-1.98
O: 0.7461 0.4987 0.9974  2 Fe 1.92-1.98
O: 0.0019 0.7512 0.5038  2 Fe 1.94-1.96
O: 0.5000 0.0000 0.7503  2 Fe 1.92-1.93
O: 0.9984 0.2498 0.9970  2 Fe 1.95
O: 0.2498 0.9984 0.9970  2 Fe 1.95
O: 0.4987 0.7461 0.9974  2 Fe 1.92-1.98
O: 0.5000 0.5000 0.2662  1 Co 1.82
Sr: 0.7499 0.7499 0.7483  12 O 2.73-2.76
Sr: 0.7500 0.7500 0.2523  12 O 2.76-2.79
Sr: 0.2501 0.2501 0.7483  12 O 2.73-2.76
Sr: 0.7500 0.2500 0.2513  12 O 2.75-2.76
Sr: 0.2500 0.2500 0.2523  12 O 2.76-2.79
Sr: 0.2500 0.7500 0.2513  12 O 2.75-2.76
Ca: 0.2491 0.7509 0.7424  12 O 2.67-2.77
Ca: 0.7509 0.2491 0.7424  12 O 2.67-2.77
Co: 0.5000 0.5000 0.5014  6 O 1.82-1.94